1.
BaTl2S: relaxed, PBE.

Properties
E_form (uncorrected): -0.188 eV per atom

abc: 4.1200 4.1200 10.9465
angles: 79.15 79.15 60.00
Fractional coordinates of all 4 atoms:
S: 0.5000 0.5000 0.5000
Tl: 0.1130 0.1130 0.6609
Tl: 0.8870 0.8870 0.3391
Ba: 0.0000 0.0000 0.0000

2.
Pu2VPd9: relaxed, PBE.

Properties
DFT total energy: -7.48 eV per atom

abc: 4.0714 4.0714 12.1824
angles: 90.00 90.00 90.00
Fractional coordinates of all 12 atoms:
Pu: 0.0000 0.0000 0.3266
Pu: 0.0000 0.0000 0.6734
V: 0.0000 0.0000 0.0000
Pd: 0.5000 0.5000 0.0000
Pd: 0.5000 0.5000 0.3254
Pd: 0.5000 0.5000 0.6746
Pd: 0.5000 0.0000 0.1511
Pd: 0.5000 0.0000 0.5000
Pd: 0.5000 0.0000 0.8489
Pd: 0.0000 0.5000 0.1511
Pd: 0.0000 0.5000 0.5000
Pd: 0.0000 0.5000 0.8489

3.
CaTh2Pt: relaxed, PBE.

Properties
DFT total energy: -5.94 eV per atom

abc: 3.9042 3.9042 11.0822
angles: 79.85 79.85 60.00
Fractional coordinates of all 4 atoms:
Ca: 0.0000 0.0000 0.0000
Pt: 0.5000 0.5000 0.5000
Th: 0.1113 0.1113 0.6660
Th: 0.8887 0.8887 0.3340

4.
CeTl2Br8: relaxed, PBE.

Properties
E_form (uncorrected): -0.919 eV per atom
energy above the lowest structure with this stoichiometry: 0.025 eV/atom

abc: 7.3100 8.5706 8.5706
angles: 58.92 96.56 96.56
Fractional coordinates of all 11 atoms:
Ce: 0.0000 0.0000 0.0000
Tl: 0.6318 0.1885 0.1885
Tl: 0.3682 0.8115 0.8115
Br: 0.2267 0.1612 0.6969
Br: 0.2267 0.6969 0.1612
Br: 0.7733 0.8388 0.3031
Br: 0.2784 0.6323 0.6323
Br: 0.7733 0.3031 0.8388
Br: 0.2268 0.1698 0.1698
Br: 0.7732 0.8302 0.8302
Br: 0.7216 0.3677 0.3677

5.
RbTaFeGeTe: relaxed, PBE.

Properties
E_form (uncorrected): -0.258 eV per atom
energy above the lowest structure with this stoichiometry: 0.033 eV/atom

abc: 8.9279 4.1581 7.1962
angles: 90.00 105.20 90.00
Fractional coordinates of all 10 atoms:
Ge: 0.8510 0.0000 0.4942
Ge: 0.8510 0.5000 0.9942
Te: 0.4946 0.0000 0.7116
Te: 0.4946 0.5000 0.2116
Fe: 0.7897 0.0000 0.8074
Fe: 0.7897 0.5000 0.3074
Rb: 0.1823 0.0000 0.9438
Rb: 0.1823 0.5000 0.4438
Ta: 0.6946 0.0000 0.1098
Ta: 0.6946 0.5000 0.6098

6.
La5InAu2: relaxed, PBE.

Properties
DFT total energy: -4.78 eV per atom

abc: 8.5133 8.5133 9.1181
angles: 117.83 117.83 90.00
Fractional coordinates of all 16 atoms:
La: 0.5126 0.6971 0.7097
La: 0.8029 0.9874 0.2903
La: 0.0000 0.0000 0.0000
La: 0.5000 0.5000 0.0000
La: 0.1971 0.0126 0.7097
La: 0.6971 0.1971 0.7097
La: 0.0126 0.5126 0.7097
La: 0.3029 0.8029 0.2903
La: 0.9874 0.4874 0.2903
La: 0.4874 0.3029 0.2903
In: 0.7500 0.7500 0.5000
In: 0.2500 0.2500 0.5000
Au: 0.1339 0.3661 0.0000
Au: 0.6339 0.1339 0.0000
Au: 0.3661 0.8661 0.0000
Au: 0.8661 0.6339 0.0000

| no. | density (g/cm3) |
| --- | --- |
| 1 | 6.112 |
| 2 | 12.307 |
| 3 | 8.106 |
| 4 | 4.328 |
| 5 | 6.731 |
| 6 | 8.051 |